Record 1
CuOs, relaxed, DFT GGA-PBE; formation enthalpy at 0 K = 1166 meV/atom; SG = No. 136; spin magnetization = 0.000 μB/atom
1.0
-5.123 1.940 -5.946
0.933 -7.363 -3.206
-1.873 -0.823 1.345
Os Cu
4 4
Direct
0.890 0.110 0.500 Os
0.390 0.390 0.000 Os
0.610 0.610 0.000 Os
0.110 0.890 0.500 Os
0.806 0.806 0.500 Cu
0.194 0.194 0.500 Cu
0.306 0.694 0.000 Cu
0.694 0.306 0.000 Cu

***

Record 2
Cu5Os, relaxed, DFT GGA-PBE; formation enthalpy at 0 K = 402 meV/atom; SG = No. 216; spin magnetization = 0.105 μB/atom
1.0
0.000 3.348 3.348
3.348 0.000 3.348
3.348 3.348 0.000
Os Cu
1 5
Direct
0.000 0.000 0.000 Os
0.750 0.750 0.750 Cu
0.875 0.375 0.375 Cu
0.375 0.875 0.375 Cu
0.375 0.375 0.875 Cu
0.375 0.375 0.375 Cu

***

Record 3
Cu5Os, relaxed, DFT GGA-PBE; formation enthalpy at 0 K = 561 meV/atom; SG = No. 191; spin magnetization = 0.109 μB/atom
1.0
2.337 -4.047 0.000
2.337 4.047 0.000
0.000 0.000 4.114
Cu Os
5 1
Direct
0.500 0.500 0.500 Cu
0.000 0.500 0.500 Cu
0.667 0.333 0.000 Cu
0.333 0.667 0.000 Cu
0.500 0.000 0.500 Cu
0.000 0.000 0.000 Os

***

Record 4
CuOs3, relaxed, DFT GGA-PBE; formation enthalpy at 0 K = 299 meV/atom; SG = No. 10; spin magnetization = 0.000 μB/atom
1.0
-2.638 0.543 -0.464
0.544 -0.559 -3.749
-3.809 -4.589 0.132
Os Cu
3 1
Direct
0.500 0.000 0.500 Os
0.261 0.500 0.243 Os
0.739 0.500 0.757 Os
0.000 0.000 0.000 Cu